Density functional theory data (PBE) for a relaxed KCaTa crystal.

Output
Energy relative to the elements in eV/atom: 0.9240
Relative energy among the computed polymorphs in meV per atom: 591
Electronic total energy in eV/atom: -4.0599

Cell: 5.690 5.690 8.498 Å, 90.00 90.00 120.00°
Positions (direct):
K  0.667  0.333  0.108
K  0.333  0.667  0.892
Ca  0.333  0.667  0.443
Ca  0.667  0.333  0.557
Ta  0.000  0.000  0.366
Ta  0.000  0.000  0.634